Material: BaHo6
Method: DFT, PBE-GGA
State: optimized geometry

Values from the calculation:
E (eV per atom): -2.93
Formation energy (eV/atom): 1.273

abc: 7.3380 7.3380 7.3380
angles: 109.47 109.47 109.47
Element x y z (fractional)
Ho  0.5000  0.7500  0.2500
Ho  0.7500  0.5000  0.2500
Ho  0.5000  0.2500  0.7500
Ho  0.2500  0.5000  0.7500
Ho  0.7500  0.2500  0.5000
Ho  0.2500  0.7500  0.5000
Ba  0.0000  0.0000  0.0000